(1)
First-principles (meta-GGA SCAN) data for a crystal of CrRe4Si relaxed with PBEsol, as listed in Alexandria.

Cell: 5.084 5.084 5.084 Å, 60.00 60.00 60.00°
Last column: magnetic moment on the atom in μB.
Sites, in units of the cell vectors:
Re 0.375 0.375 0.875  -0.12
Re 0.875 0.375 0.375  -0.12
Re 0.375 0.875 0.375  -0.12
Cr 0.000 0.000 0.000  3.12
Si 0.750 0.750 0.750  0.01
Re 0.375 0.375 0.375  -0.12

Summary:
DOS(E_F)	1.003	states/eV per atom
total magnetic moment	2.83	μB/f.u.
uncorrected formation energy	3.50	eV/f.u.

=====

(2)
First-principles (meta-GGA SCAN) data for a crystal of NaPbSN2 relaxed with PBEsol, as listed in Alexandria.

Cell: 4.420 4.420 5.309 Å, 90.00 90.00 90.00°
Last column: magnetic moment on the atom in μB.
Sites, in units of the cell vectors:
Pb 0.000 0.000 0.000  -0.10
N 0.000 0.500 0.000  1.09
N 0.500 0.000 0.000  1.09
S 0.000 0.000 0.500  0.15
Na 0.500 0.500 0.500  0.00

Summary:
DOS(E_F)	0.104	states/eV per atom
total magnetic moment	3.23	μB/f.u.
uncorrected formation energy	5.27	eV/f.u.